No. 1
A plane-wave DFT calculation with PBE was carried out for a relaxed structure of AlTc2Cl.

Output
ΔE_f (raw), meV per atom: 774
Calculated total energy, eV per atom: -5.806
Magnetic moment, Bohr magnetons per cell: 0.00
SG: I-42d, No. 122
Fermi-level density of states, states/eV per atom: 0.502
Polymorph energy (0 for the lowest one), meV/atom: 859

a b c (Å): 5.603 5.603 5.603
angles (deg): 102.48 102.48 124.60
Sites, in units of the cell vectors:
1 Al 0.000 0.000 0.000
2 Al 0.750 0.250 0.500
3 Tc 0.202 0.625 0.077
4 Tc 0.375 0.452 0.577
5 Tc 0.548 0.125 0.923
6 Tc 0.875 0.798 0.423
7 Cl 0.250 0.750 0.500
8 Cl 0.500 0.500 0.000

No. 2
A plane-wave DFT calculation with PBE was carried out for a relaxed structure of AlTc2Cl.

Output
ΔE_f (raw), meV per atom: 621
Calculated total energy, eV per atom: -5.960
Magnetic moment, Bohr magnetons per cell: 0.00
SG: Fm-3m, No. 225
Fermi-level density of states, states/eV per atom: 0.878
Polymorph energy (0 for the lowest one), meV/atom: 705

a b c (Å): 4.352 4.352 4.352
angles (deg): 60.00 60.00 60.00
Sites, in units of the cell vectors:
1 Al 0.000 0.000 0.000
2 Tc 0.250 0.250 0.250
3 Tc 0.750 0.750 0.750
4 Cl 0.500 0.500 0.500